ZrCo2AgF: relaxed, PBE+U. Values from VASP.

## Properties
Total DFT energy (no corrections): -22.20 eV for the cell shown
Density: 5.9 g/cm3
SG: P4/mmm, No. 123
Spin magnetization: 2.32 μB per cell

Cell and atoms, written as Quantum ESPRESSO input:
```
&SYSTEM
  ibrav = 0, nat = 5, ntyp = 4
/
ATOMIC_SPECIES
Co 58.93 Co.upf
Zr 91.22 Zr.upf
Ag 107.87 Ag.upf
F 19.00 F.upf
CELL_PARAMETERS angstrom
4.820 0.000 0.000
0.000 4.093 0.000
0.000 0.000 4.820
ATOMIC_POSITIONS angstrom
Co 0.000 0.000 2.410
Co 2.410 0.000 0.000
Zr 0.000 0.000 0.000
Ag 2.410 2.047 2.410
F 0.000 2.047 0.000
```